No. 1
# PBE HgAs2Rh, relaxed
data_HgAs2Rh
_symmetry_space_group_name_H-M 'P 1'
_symmetry_Int_Tables_number 1
_cell_length_a 3.051
_cell_length_b 4.073
_cell_length_c 6.700
_cell_angle_alpha 76.96
_cell_angle_beta 90.00
_cell_angle_gamma 90.00
loop_
_symmetry_equiv_pos_as_xyz
'x,y,z'
loop_
_atom_site_label
_atom_site_type_symbol
_atom_site_fract_x
_atom_site_fract_y
_atom_site_fract_z
_atom_site_occupancy
As1 As 0.000 0.017 0.938 1
As2 As 0.500 0.274 0.217 1
Rh1 Rh 0.500 0.584 0.856 1
Hg1 Hg 0.000 0.625 0.489 1
# Calculated density   9.28 Mg/m³
# E_tot   -16.7 eV per cell


No. 2
# PBE HgAs2Rh2, relaxed
data_HgAs2Rh2
_symmetry_space_group_name_H-M 'P 1'
_symmetry_Int_Tables_number 1
_cell_length_a 4.004
_cell_length_b 4.004
_cell_length_c 6.449
_cell_angle_alpha 71.92
_cell_angle_beta 71.92
_cell_angle_gamma 90.00
loop_
_symmetry_equiv_pos_as_xyz
'x,y,z'
loop_
_atom_site_label
_atom_site_type_symbol
_atom_site_fract_x
_atom_site_fract_y
_atom_site_fract_z
_atom_site_occupancy
As1 As 0.750 0.250 0.500 1
As2 As 0.250 0.750 0.500 1
Rh1 Rh 0.379 0.379 0.241 1
Rh2 Rh 0.621 0.621 0.759 1
Hg1 Hg 0.000 0.000 0.000 1
# Calculated density   9.94 Mg/m³
# E_tot   -24.5 eV per cell


No. 3
# PBE HgAs2Rh, relaxed
data_HgAs2Rh
_symmetry_space_group_name_H-M 'P 1'
_symmetry_Int_Tables_number 1
_cell_length_a 6.174
_cell_length_b 6.174
_cell_length_c 6.174
_cell_angle_alpha 152.40
_cell_angle_beta 134.00
_cell_angle_gamma 54.49
loop_
_symmetry_equiv_pos_as_xyz
'x,y,z'
loop_
_atom_site_label
_atom_site_type_symbol
_atom_site_fract_x
_atom_site_fract_y
_atom_site_fract_z
_atom_site_occupancy
As1 As 0.058 0.058 0.000 1
As2 As 0.442 0.442 0.000 1
Rh1 Rh 0.250 0.750 0.500 1
Hg1 Hg 0.750 0.250 0.500 1
# Calculated density   9.65 Mg/m³
# E_tot   -16.9 eV per cell


No. 4
# PBE HgAs2Rh, relaxed
data_HgAs2Rh
_symmetry_space_group_name_H-M 'P 1'
_symmetry_Int_Tables_number 1
_cell_length_a 3.013
_cell_length_b 3.013
_cell_length_c 9.281
_cell_angle_alpha 90.00
_cell_angle_beta 90.00
_cell_angle_gamma 89.96
loop_
_symmetry_equiv_pos_as_xyz
'x,y,z'
loop_
_atom_site_label
_atom_site_type_symbol
_atom_site_fract_x
_atom_site_fract_y
_atom_site_fract_z
_atom_site_occupancy
As1 As 0.000 0.000 0.919 1
As2 As 0.000 0.000 0.581 1
Rh1 Rh 0.500 0.500 0.750 1
Hg1 Hg 0.500 0.500 0.250 1
# Calculated density   8.93 Mg/m³
# E_tot   -17.3 eV per cell


No. 5
# PBE Hg2AsRh, relaxed
data_Hg2AsRh
_symmetry_space_group_name_H-M 'P 1'
_symmetry_Int_Tables_number 1
_cell_length_a 3.346
_cell_length_b 4.821
_cell_length_c 4.762
_cell_angle_alpha 90.00
_cell_angle_beta 90.00
_cell_angle_gamma 90.00
loop_
_symmetry_equiv_pos_as_xyz
'x,y,z'
loop_
_atom_site_label
_atom_site_type_symbol
_atom_site_fract_x
_atom_site_fract_y
_atom_site_fract_z
_atom_site_occupancy
As1 As 0.000 0.500 0.500 1
Rh1 Rh 0.500 0.000 0.500 1
Hg1 Hg 0.000 0.000 0.000 1
Hg2 Hg 0.500 0.500 0.000 1
# Calculated density   12.52 Mg/m³
# E_tot   -11.4 eV per cell


No. 6
# PBE HgAsRh2, relaxed
data_HgAsRh2
_symmetry_space_group_name_H-M 'P 1'
_symmetry_Int_Tables_number 1
_cell_length_a 7.021
_cell_length_b 7.021
_cell_length_c 5.749
_cell_angle_alpha 52.37
_cell_angle_beta 52.37
_cell_angle_gamma 90.00
loop_
_symmetry_equiv_pos_as_xyz
'x,y,z'
loop_
_atom_site_label
_atom_site_type_symbol
_atom_site_fract_x
_atom_site_fract_y
_atom_site_fract_z
_atom_site_occupancy
As1 As 0.500 0.500 0.000 1
As2 As 0.250 0.750 0.500 1
Rh1 Rh 0.570 0.125 0.250 1
Rh2 Rh 0.180 0.625 0.250 1
Rh3 Rh 0.375 0.430 0.750 1
Rh4 Rh 0.875 0.820 0.750 1
Hg1 Hg 0.000 0.000 0.000 1
Hg2 Hg 0.750 0.250 0.500 1
# Calculated density   11.18 Mg/m³
# E_tot   -39.1 eV per cell


no.,V (Å³ per cell)
1,81.12
2,92.90
3,78.02
4,84.28
5,76.81
6,142.94